Record 1
Entry from the Alexandria database: crystalline NaScGa2Br6 at its relaxed geometry (PBE).

It has space group P2_1/c (No. 14), with a = 7.2230 Å, b = 8.0118 Å, c = 12.5703 Å, α = 90.00°, β = 122.41° and γ = 90.00°. The inequivalent atoms are Na at (0.0000, 0.0000, 0.0000), Sc at (0.5000, 0.0000, 0.5000), Ga at (0.1939, 0.0887, 0.7175), Br at (0.1501, 0.1742, 0.4570), Br at (0.2588, 0.7212, 0.4276) and Br at (0.3903, 0.0511, 0.2631).

The volume is 30.7 A^3/atom. The formation energy (no corrections) comes out at -1.204 eV/atom. The calculation puts the theoretical density at 3.7 g cm⁻³. Its electronic total energy is -3.5784 eV per atom.

Record 2
Entry from the Alexandria database: crystalline PbCl2 at its relaxed geometry (PBE).

It has space group Fd-3m (No. 227, origin choice 2), with a = 13.9337 Å, b = 13.9337 Å, c = 13.9337 Å, α = 90.00°, β = 90.00° and γ = 90.00°. The inequivalent atoms are Pb at (0.0079, 0.0079, 0.2421), Cl at (0.0000, 0.0000, 0.0000) and Cl at (0.0728, 0.3750, 0.8750).

The volume is 28.2 A^3/atom. The formation energy (no corrections) comes out at -1.079 eV/atom. The calculation puts the theoretical density at 5.5 g cm⁻³. Its electronic total energy is -3.5457 eV per atom.

Record 3
Entry from the Alexandria database: crystalline LaTb3Sc7 at its relaxed geometry (PBE).

It has space group Immm (No. 71), with a = 5.4910 Å, b = 10.5526 Å, c = 10.7733 Å, α = 90.00°, β = 90.00° and γ = 90.00°. The inequivalent atoms are La at (0.0000, 0.0000, 0.0000), Tb at (0.0000, 0.2103, 0.5000), Tb at (0.0000, 0.5000, 0.0000), Sc at (0.0000, 0.0000, 0.2945), Sc at (0.0000, 0.3127, 0.2215) and Sc at (0.0000, 0.5000, 0.5000).

Its formation energy is 3.1 eV/f.u. The volume is 28.4 A^3/atom. The calculation puts the theoretical density at 4.9 g cm⁻³. Its electronic total energy is -5.4552 eV per atom.

Record 4
Entry from the Alexandria database: crystalline BaNa2H4 at its relaxed geometry (PBE).

It has space group Cmcm (No. 63), with a = 3.7326 Å, b = 11.2735 Å, c = 11.0632 Å, α = 90.00°, β = 90.00° and γ = 90.00°. The inequivalent atoms are Ba at (0.0000, 0.1035, 0.2500), Na at (0.0000, 0.3656, 0.0639), H at (0.0000, 0.0000, 0.0000), H at (0.0000, 0.2836, 0.6184) and H at (0.0000, 0.4392, 0.2500).

The volume is 16.6 A^3/atom. The calculation puts the theoretical density at 2.7 g cm⁻³. Its electronic total energy is -2.8506 eV per atom.

Record 5
Entry from the Alexandria database: crystalline ZnCr2 at its relaxed geometry (PBE).

It has space group Cmcm (No. 63), with a = 2.9769 Å, b = 12.0888 Å, c = 4.2228 Å, α = 90.00°, β = 90.00° and γ = 90.00°. The inequivalent atoms are Zn at (0.0000, 0.0818, 0.2500), Cr at (0.0000, 0.2370, 0.7500) and Cr at (0.0000, 0.3996, 0.2500).

Its formation energy is 0.6 eV/f.u. The volume is 12.7 A^3/atom. The calculation puts the theoretical density at 7.4 g cm⁻³. Its electronic total energy is -6.6439 eV per atom.

Record 6
Entry from the Alexandria database: crystalline ZnInIr2 at its relaxed geometry (PBE).

It has space group I-4m2 (No. 119), with a = 3.9369 Å, b = 3.9369 Å, c = 8.2320 Å, α = 90.00°, β = 90.00° and γ = 90.00°. The inequivalent atoms are Zn at (0.0000, 0.0000, 0.0000), In at (0.0000, 0.5000, 0.7500), Ir at (0.0000, 0.0000, 0.5000) and Ir at (0.0000, 0.5000, 0.2500).

Its formation energy is 0.4 eV/f.u. The volume is 15.9 A^3/atom. The calculation puts the theoretical density at 14.7 g cm⁻³. Its electronic total energy is -5.3296 eV per atom.